1.
Below is a relaxed LiTaCd crystal, with properties calculated at the PBE-GGA level.

- Volume: 55.2 Å³/f.u.
- Total moment: 0.00 μB per cell
- Raw total energy: -4.81 eV per atom
- DFT formation energy: 87 meV per atom

Cell lengths 2.972, 3.885, 10.019 Å; angles 90.00, 72.55, 90.00 degrees
Fractional positions:
1 Cd 0.160 0.908 0.870
2 Cd 0.831 0.908 0.202
3 Ta 0.854 0.408 0.677
4 Ta 0.505 0.908 0.529
5 Li 0.184 0.408 0.350
6 Li 0.506 0.408 0.025

---

2.
Below is a relaxed LiTaCd crystal, with properties calculated at the PBE-GGA level.

- Volume: 56.8 Å³/f.u.
- Total moment: 0.00 μB per cell
- Raw total energy: -4.69 eV per atom
- DFT formation energy: 199 meV per atom

Cell lengths 14.809, 7.551, 7.551 Å; angles 158.35, 156.14, 23.86 degrees
Fractional positions:
1 Cd 0.808 0.762 0.238
2 Cd 0.231 0.512 0.488
3 Li 0.719 0.519 0.481
4 Li 0.600 0.306 0.694
5 Ta 0.312 0.752 0.248
6 Ta 0.110 0.303 0.697